Entry 1:
Compound: HoGa2Pt3
Source: the Alexandria database
Functional: PBE
Structure: relaxed

Lattice parameters (Å, degrees): 8.651 8.651 9.924 106.35 106.35 26.99
Sites, in units of the cell vectors:
Ho (0.000, 0.000, 0.000)
Ho (0.165, 0.165, 0.710)
Ho (0.835, 0.835, 0.290)
Ga (0.192, 0.192, 0.124)
Ga (0.362, 0.362, 0.546)
Ga (0.459, 0.459, 0.220)
Ga (0.541, 0.541, 0.780)
Ga (0.638, 0.638, 0.454)
Ga (0.808, 0.808, 0.876)
Pt (0.040, 0.040, 0.331)
Pt (0.219, 0.219, 0.390)
Pt (0.322, 0.322, 0.049)
Pt (0.388, 0.388, 0.813)
Pt (0.500, 0.500, 0.500)
Pt (0.612, 0.612, 0.187)
Pt (0.678, 0.678, 0.951)
Pt (0.781, 0.781, 0.610)
Pt (0.960, 0.960, 0.669)

Computed properties:
Formation energy in eV/atom: -0.901
VASP energy in eV for the cell shown: -102.5
Space group: C2/m
Volume in A^3/atom: 17.93

Entry 2:
Compound: HoGaPt
Source: the Alexandria database
Functional: PBE
Structure: relaxed

Lattice parameters (Å, degrees): 4.570 4.570 4.570 60.00 60.00 60.00
Sites, in units of the cell vectors:
Ho (0.000, 0.000, 0.000)
Ga (0.500, 0.500, 0.500)
Pt (0.750, 0.750, 0.750)

Computed properties:
Formation energy in eV/atom: -0.900
VASP energy in eV for the cell shown: -16.3
Space group: F-43m
Volume in A^3/atom: 22.49

Entry 3:
Compound: Ho2Ga12Pt7
Source: the Alexandria database
Functional: PBE
Structure: relaxed

Lattice parameters (Å, degrees): 10.533 10.533 3.823 90.00 90.00 120.00
Sites, in units of the cell vectors:
Ho (0.000, 0.000, 0.000)
Ho (0.333, 0.667, 0.500)
Ga (0.044, 0.763, 0.500)
Ga (0.122, 0.394, 0.000)
Ga (0.237, 0.281, 0.500)
Ga (0.272, 0.878, 0.000)
Ga (0.385, 0.212, 0.000)
Ga (0.528, 0.114, 0.500)
Ga (0.587, 0.472, 0.500)
Ga (0.606, 0.728, 0.000)
Ga (0.719, 0.956, 0.500)
Ga (0.788, 0.173, 0.000)
Ga (0.827, 0.615, 0.000)
Ga (0.886, 0.413, 0.500)
Pt (0.067, 0.603, 0.000)
Pt (0.244, 0.032, 0.500)
Pt (0.397, 0.464, 0.000)
Pt (0.536, 0.933, 0.000)
Pt (0.667, 0.333, 0.000)
Pt (0.788, 0.756, 0.500)
Pt (0.968, 0.212, 0.500)

Computed properties:
Formation energy in eV/atom: -0.714
VASP energy in eV for the cell shown: -102.8
Space group: P-6
Volume in A^3/atom: 17.49

> Among the records above, which one has the lowest volume?

Ho2Ga12Pt7

Copy entry 1 word for word.
Compound: HoGa2Pt3
Source: the Alexandria database
Functional: PBE
Structure: relaxed

Lattice parameters (Å, degrees): 8.651 8.651 9.924 106.35 106.35 26.99
Sites, in units of the cell vectors:
Ho (0.000, 0.000, 0.000)
Ho (0.165, 0.165, 0.710)
Ho (0.835, 0.835, 0.290)
Ga (0.192, 0.192, 0.124)
Ga (0.362, 0.362, 0.546)
Ga (0.459, 0.459, 0.220)
Ga (0.541, 0.541, 0.780)
Ga (0.638, 0.638, 0.454)
Ga (0.808, 0.808, 0.876)
Pt (0.040, 0.040, 0.331)
Pt (0.219, 0.219, 0.390)
Pt (0.322, 0.322, 0.049)
Pt (0.388, 0.388, 0.813)
Pt (0.500, 0.500, 0.500)
Pt (0.612, 0.612, 0.187)
Pt (0.678, 0.678, 0.951)
Pt (0.781, 0.781, 0.610)
Pt (0.960, 0.960, 0.669)

Computed properties:
Formation energy in eV/atom: -0.901
VASP energy in eV for the cell shown: -102.5
Space group: C2/m
Volume in A^3/atom: 17.93